w | First-principles (PBE) data for crystalline Sr8Tl2Cd at its relaxed geometry, as listed in Alexandria.

Cell and atoms, written as CIF:
```
data_Sr8Tl2Cd
_chemical_formula_sum 'Sr8 Tl2 Cd1'
_space_group_name_H-M_alt 'P 1'
_space_group_IT_number 1
_space_group_name_Hall 'P 1'
_cell_length_a 5.736
_cell_length_b 9.798
_cell_length_c 9.895
_cell_angle_alpha 119.67
_cell_angle_beta 106.85
_cell_angle_gamma 90.00
loop_
_atom_site_label
_atom_site_fract_x
_atom_site_fract_y
_atom_site_fract_z
Sr1 0.660 0.448 0.321
Sr2 0.340 0.552 0.679
Sr3 0.000 0.676 0.000
Cd1 0.500 0.000 0.000
Tl1 0.804 0.304 0.608
Sr4 0.134 0.134 0.268
Sr5 0.000 0.324 0.000
Sr6 0.340 0.127 0.679
Sr7 0.866 0.866 0.732
Sr8 0.660 0.873 0.321
Tl2 0.196 0.696 0.392
```

Density of states at the Fermi level: 7.2 states/eV per cell
Space group: Immm
Crystal system: orthorhombic

x | First-principles (PBE) data for crystalline Sr8Tl2Cd at its relaxed geometry, as listed in Alexandria.

Cell and atoms, written as CIF:
```
data_Sr8Tl2Cd
_chemical_formula_sum 'Sr8 Tl2 Cd1'
_space_group_name_H-M_alt 'P 1'
_space_group_IT_number 1
_space_group_name_Hall 'P 1'
_cell_length_a 5.806
_cell_length_b 8.182
_cell_length_c 10.692
_cell_angle_alpha 108.47
_cell_angle_beta 105.76
_cell_angle_gamma 90.00
loop_
_atom_site_label
_atom_site_fract_x
_atom_site_fract_y
_atom_site_fract_z
Sr1 0.403 0.548 0.806
Cd1 0.500 0.000 0.000
Sr2 0.970 0.213 0.939
Tl1 0.182 0.702 0.364
Sr3 0.668 0.960 0.336
Sr4 0.332 0.040 0.664
Sr5 0.201 0.307 0.402
Sr6 0.030 0.787 0.061
Tl2 0.818 0.298 0.636
Sr7 0.799 0.693 0.598
Sr8 0.597 0.452 0.194
```

Density of states at the Fermi level: 8.3 states/eV per cell
Space group: C2/m
Crystal system: monoclinic

Of them, x has the highest stability.

w | First-principles (PBE) data for crystalline SrTl4Cd at its relaxed geometry, as listed in Alexandria.

Cell and atoms, written as CIF:
```
data_SrTl4Cd
_chemical_formula_sum 'Sr2 Tl8 Cd2'
_space_group_name_H-M_alt 'P 1'
_space_group_IT_number 1
_space_group_name_Hall 'P 1'
_cell_length_a 5.496
_cell_length_b 7.616
_cell_length_c 8.885
_cell_angle_alpha 90.00
_cell_angle_beta 102.53
_cell_angle_gamma 90.00
loop_
_atom_site_label
_atom_site_fract_x
_atom_site_fract_y
_atom_site_fract_z
Tl1 0.000 0.000 0.000
Tl2 0.328 0.527 0.685
Tl3 0.517 0.750 0.018
Tl4 0.328 0.973 0.685
Tl5 0.483 0.250 0.982
Tl6 0.000 0.500 0.000
Cd1 0.196 0.250 0.366
Tl7 0.672 0.473 0.315
Sr1 0.820 0.250 0.658
Tl8 0.672 0.027 0.315
Sr2 0.180 0.750 0.342
Cd2 0.804 0.750 0.634
```

Density of states at the Fermi level: 5.6 states/eV per cell
Space group: P2_1/m
Crystal system: monoclinic

x | First-principles (PBE) data for crystalline SrTl4Cd at its relaxed geometry, as listed in Alexandria.

Cell and atoms, written as CIF:
```
data_SrTl4Cd
_chemical_formula_sum 'Sr1 Tl4 Cd1'
_space_group_name_H-M_alt 'P 1'
_space_group_IT_number 1
_space_group_name_Hall 'P 1'
_cell_length_a 6.487
_cell_length_b 6.487
_cell_length_c 6.487
_cell_angle_alpha 60.00
_cell_angle_beta 60.00
_cell_angle_gamma 60.00
loop_
_atom_site_label
_atom_site_fract_x
_atom_site_fract_y
_atom_site_fract_z
Tl1 0.375 0.375 0.375
Sr1 0.000 0.000 0.000
Tl2 0.375 0.874 0.375
Cd1 0.750 0.750 0.750
Tl3 0.874 0.375 0.375
Tl4 0.375 0.375 0.874
```

Density of states at the Fermi level: 4.1 states/eV per cell
Space group: F-43m
Crystal system: cubic

Of them, w has the highest stability.